Below is a relaxed structure of MnInSN2, with properties calculated at the PBE level.

The structure in POSCAR format:
```
MnInSN2
1.0
4.1426 0.0000 0.0000
0.0000 4.1426 0.0000
0.0000 0.0000 5.5172
N S In Mn
2 1 1 1
Direct
0.0000 0.5000 0.0000
0.5000 0.0000 0.0000
0.0000 0.0000 0.5000
0.0000 0.0000 0.0000
0.5000 0.5000 0.5000
```

* formation energy from raw total energies: 1.419 eV per atom
* density of states at the Fermi level: 2.777 states/eV/cell
* crystal system: tetragonal
* electronic total energy: -5.1181 eV/atom